# 1
DFT (PBE) results for crystalline KAlP at its relaxed geometry.

Cell: 3.513 3.513 11.976 Å, 90.00 90.00 90.00°
Space group I4mm (No. 107)
Asymmetric unit:
1 K 0.000 0.000 0.000 x2
2 Al 0.000 0.000 0.269 x2
3 P 0.000 0.000 0.722 x2

Computed properties:
Total DFT energy (no corrections)   -21.1 eV per cell
DFT formation energy   -0.097 eV per atom

# 2
DFT (PBE) results for crystalline KAlP at its relaxed geometry.

Cell: 3.9702 3.9702 5.9655 Å, 90.00 90.00 120.00°
Space group P3m1 (No. 156)
Asymmetric unit:
1 K 0.0000 0.0000 0.0000 x1
2 Al 0.6667 0.3333 0.5319 x1
3 P 0.3333 0.6667 0.4099 x1

Computed properties:
Total DFT energy (no corrections)   -11.1 eV per cell
DFT formation energy   -0.273 eV per atom

# 3
DFT (PBE) results for crystalline KAlP2 at its relaxed geometry.

Cell: 3.526 3.526 6.722 Å, 90.00 90.00 90.00°
Space group P4/mmm (No. 123)
Asymmetric unit:
1 K 0.000 0.000 0.000 x1
2 Al 0.000 0.000 0.500 x1
3 P 0.500 0.500 0.337 x2

Computed properties:
Total DFT energy (no corrections)   -16.2 eV per cell
DFT formation energy   -0.128 eV per atom

# 4
DFT (PBE) results for crystalline KAl2P at its relaxed geometry.

Cell: 10.948 3.463 6.157 Å, 90.00 110.18 90.00°
Space group C2/m (No. 12)
Asymmetric unit:
1 K 0.000 0.000 0.000 x2
2 Al 0.168 0.000 0.574 x4
3 P 0.000 0.500 0.500 x2

Computed properties:
Total DFT energy (no corrections)   -27.9 eV per cell
DFT formation energy   0.010 eV per atom

# 5
DFT (PBE) results for crystalline KAlP2 at its relaxed geometry.

Cell: 3.449 3.449 7.411 Å, 90.00 90.00 90.00°
Space group P4mm (No. 99)
Asymmetric unit:
1 K 0.000 0.000 0.000 x1
2 Al 0.500 0.500 0.646 x1
3 P 0.000 0.000 0.429 x1
4 P 0.500 0.500 0.328 x1

Computed properties:
Total DFT energy (no corrections)   -15.4 eV per cell
DFT formation energy   0.076 eV per atom

# 6
DFT (PBE) results for crystalline K2AlP2 at its relaxed geometry.

Cell: 6.619 6.619 5.405 Å, 90.00 90.00 90.00°
Space group P4/mbm (No. 127)
Asymmetric unit:
1 K 0.177 0.323 0.000 x4
2 Al 0.000 0.000 0.500 x2
3 P 0.120 0.620 0.500 x4

Computed properties:
Energy above the most stable polymorph in this dataset   0.2639 eV per atom
Total DFT energy (no corrections)   -35.1 eV per cell
DFT formation energy   -0.162 eV per atom

# 7
DFT (PBE) results for crystalline KAl3P at its relaxed geometry.

Cell: 5.625 5.625 5.625 Å, 90.00 90.00 90.00°
Space group Pm-3m (No. 221)
Asymmetric unit:
1 K 0.000 0.000 0.000 x1
2 Al 0.000 0.000 0.500 x3
3 P 0.500 0.500 0.500 x1

Computed properties:
Energy above the most stable polymorph in this dataset   1.3860 eV per atom
Total DFT energy (no corrections)   -8.6 eV per cell
DFT formation energy   1.830 eV per atom

# 8
DFT (PBE) results for crystalline KAlP at its relaxed geometry.

Cell: 10.551 3.927 8.139 Å, 90.00 119.43 90.00°
Space group C2/m (No. 12)
Asymmetric unit:
1 K 0.068 0.000 0.359 x4
2 Al 0.149 0.500 0.043 x4
3 P 0.209 0.500 0.785 x4

Computed properties:
Total DFT energy (no corrections)   -46.8 eV per cell
DFT formation energy   -0.483 eV per atom

# 9
DFT (PBE) results for crystalline KAlP2 at its relaxed geometry.

Cell: 2.937 3.593 8.631 Å, 90.00 90.00 90.00°
Space group Pmm2 (No. 25)
Asymmetric unit:
1 K 0.000 0.000 0.000 x1
2 Al 0.500 0.500 0.519 x1
3 P 0.000 0.000 0.635 x1
4 P 0.500 0.500 0.248 x1

Computed properties:
Total DFT energy (no corrections)   -15.7 eV per cell
DFT formation energy   -0.015 eV per atom

# 10
DFT (PBE) results for crystalline KAl2P at its relaxed geometry.

Cell: 2.991 4.230 7.515 Å, 90.00 100.54 90.00°
Space group P2/m (No. 10)
Asymmetric unit:
1 K 0.000 0.000 0.000 x1
2 Al 0.347 0.500 0.667 x2
3 P 0.500 0.000 0.500 x1

Computed properties:
Total DFT energy (no corrections)   -13.4 eV per cell
DFT formation energy   0.147 eV per atom

# 11
DFT (PBE) results for crystalline KAl2P at its relaxed geometry.

Cell: 3.7142 3.7142 26.0267 Å, 90.00 90.00 120.00°
Space group R-3m (No. 166, hexagonal axes)
Asymmetric unit:
1 K 0.0000 0.0000 0.0000 x3
2 Al 0.0000 0.0000 0.2196 x6
3 P 0.0000 0.0000 0.5000 x3

Computed properties:
Total DFT energy (no corrections)   -42.1 eV per cell
DFT formation energy   -0.007 eV per atom

# 12
DFT (PBE) results for crystalline KAl2P at its relaxed geometry.

Cell: 5.859 10.397 2.878 Å, 90.00 90.00 90.00°
Space group Cmmm (No. 65)
Asymmetric unit:
1 K 0.000 0.000 0.000 x2
2 Al 0.250 0.250 0.500 x4
3 P 0.000 0.500 0.000 x2

Computed properties:
Total DFT energy (no corrections)   -24.1 eV per cell
DFT formation energy   0.482 eV per atom